No. 1
Density functional theory data (PBE-GGA) for a geometry-optimized SrSn4H2 structure. Values from VASP.

The structure in Quantum ESPRESSO input format:
```
&SYSTEM
  ibrav = 0, nat = 7, ntyp = 3
/
ATOMIC_SPECIES
Sn 118.71 Sn.upf
H 1.01 H.upf
Sr 87.62 Sr.upf
ATOMIC_POSITIONS crystal
Sn 0.2925 0.2925 0.4149
H 0.5403 0.5403 0.9195
Sn 0.7075 0.7075 0.5851
Sn 0.0000 0.5000 0.0000
Sn 0.5000 0.0000 0.0000
H 0.4597 0.4597 0.0805
Sr 0.0000 0.0000 0.0000
CELL_PARAMETERS angstrom
6.0953 0.0000 0.0000
0.0000 6.0953 0.0000
3.0477 3.0477 5.6161
```

Values from the calculation:
- calculated volume (A^3/atom) = 29.8
- final energy (eV per atom) = -2.948
- size of the total moment (μB per atom) = 0.000



No. 2
Density functional theory data (PBE-GGA) for a geometry-optimized Zn4AgPd structure. Values from VASP.

The structure in Quantum ESPRESSO input format:
```
&SYSTEM
  ibrav = 0, nat = 6, ntyp = 3
/
ATOMIC_SPECIES
Zn 65.41 Zn.upf
Ag 107.87 Ag.upf
Pd 106.42 Pd.upf
ATOMIC_POSITIONS crystal
Zn 0.1241 0.6253 0.6253
Zn 0.6253 0.1241 0.6253
Zn 0.6253 0.6253 0.1241
Ag 0.2500 0.2500 0.2500
Zn 0.6253 0.6253 0.6253
Pd 0.0000 0.0000 0.0000
CELL_PARAMETERS angstrom
-1.0830 -4.8809 -0.5438
3.5437 -3.2016 -1.5758
1.9358 -3.3754 3.1861
```

Values from the calculation:
- calculated volume (A^3/atom) = 15.0
- final energy (eV per atom) = -2.366
- size of the total moment (μB per atom) = 0.000



- Which value of size of the total moment does entry 2 give?
  0.000 μB per atom



Please write out number 2 again, unchanged.
Density functional theory data (PBE-GGA) for a geometry-optimized Zn4AgPd structure. Values from VASP.

The structure in Quantum ESPRESSO input format:
```
&SYSTEM
  ibrav = 0, nat = 6, ntyp = 3
/
ATOMIC_SPECIES
Zn 65.41 Zn.upf
Ag 107.87 Ag.upf
Pd 106.42 Pd.upf
ATOMIC_POSITIONS crystal
Zn 0.1241 0.6253 0.6253
Zn 0.6253 0.1241 0.6253
Zn 0.6253 0.6253 0.1241
Ag 0.2500 0.2500 0.2500
Zn 0.6253 0.6253 0.6253
Pd 0.0000 0.0000 0.0000
CELL_PARAMETERS angstrom
-1.0830 -4.8809 -0.5438
3.5437 -3.2016 -1.5758
1.9358 -3.3754 3.1861
```

Values from the calculation:
- calculated volume (A^3/atom) = 15.0
- final energy (eV per atom) = -2.366
- size of the total moment (μB per atom) = 0.000